Material: CuSiPb
Method: DFT, PBE
State: optimized geometry

Summary:
Distance to the lowest polymorph of the same formula: 0.123 eV per atom
Magnetization: 0.000 μB per formula unit
Density: 8303 kg/m3
E_form (uncorrected): 0.34 eV/atom
Density of states at the Fermi level: 1.18 states/eV per cell
Symmetry: I4mm, No. 107

Cell lengths 6.3357, 6.3357, 6.3357 Å; angles 150.97, 150.97, 41.52 degrees
Positions (direct):
Pb (0.3416, 0.3416, 0.0000)
Si (0.6251, 0.6251, 0.0000)
Cu (0.0333, 0.0333, 0.0000)